## one
BaCu3O3 (GGA-PBE, optimized geometry); volume = 14.1 Å³ per atom; symmetry = R-3 (148)
1.0
3.690 2.130 4.193
-3.690 2.130 4.193
0.000 -4.261 4.193
Ba Cu O
2 6 6
direct
0.160 0.160 0.160 Ba
0.840 0.840 0.840 Ba
0.209 0.598 0.403 Cu
0.402 0.597 0.791 Cu
0.403 0.209 0.598 Cu
0.597 0.791 0.402 Cu
0.598 0.403 0.209 Cu
0.791 0.402 0.597 Cu
0.107 0.406 0.713 O
0.287 0.893 0.594 O
0.406 0.713 0.107 O
0.594 0.287 0.893 O
0.713 0.107 0.406 O
0.893 0.594 0.287 O


## two
BaCu3O3 (GGA-PBE, optimized geometry); volume = 15.5 Å³ per atom; symmetry = P6_3/m (176)
1.0
8.674 0.000 0.000
-4.337 7.512 0.000
0.000 0.000 3.332
Ba Cu O
2 6 6
direct
0.333 0.667 0.250 Ba
0.667 0.333 0.750 Ba
0.007 0.280 0.750 Cu
0.272 0.993 0.750 Cu
0.280 0.272 0.250 Cu
0.720 0.728 0.750 Cu
0.728 0.007 0.250 Cu
0.993 0.720 0.250 Cu
0.125 0.735 0.750 O
0.265 0.390 0.750 O
0.390 0.125 0.250 O
0.610 0.875 0.750 O
0.735 0.610 0.250 O
0.875 0.265 0.250 O


Ranked by calculated energy, most stable first: one, two.